(1)
PbW3O: optimized geometry, PBE with a Hubbard U.

```
PbW3O
1.0
4.334 0.000 0.000
0.000 4.334 0.000
0.000 0.000 4.334
Pb W O
1 3 1
Cartesian
0.000 0.000 0.000 Pb
0.000 2.167 2.167 W
2.167 0.000 2.167 W
2.167 2.167 0.000 W
2.167 2.167 2.167 O
```

Calculated values
Calculated volume   81.4 Å³/f.u.
Size of the total moment   0.00 μB per formula unit
Calculated total energy   -5.061 eV/atom
Excess energy over the best structure of this formula in the dataset   0.0000 eV/atom

=====

(2)
CuWO3F2: optimized geometry, PBE with a Hubbard U.

```
CuWO3F2
1.0
3.789 0.000 0.000
0.000 9.823 0.000
-1.412 0.000 5.104
Cu W O F
2 2 6 4
Cartesian
0.000 0.000 0.000 Cu
0.000 4.911 0.000 Cu
0.026 2.456 2.677 W
2.350 7.367 2.427 W
0.019 1.073 1.530 O
0.019 3.839 1.530 O
0.460 7.367 2.061 O
1.916 2.456 3.044 O
2.357 5.984 3.574 O
2.357 8.750 3.574 O
0.042 1.108 4.314 F
0.042 3.804 4.314 F
2.334 6.019 0.791 F
2.334 8.715 0.791 F
```

Calculated values
Calculated volume   95.0 Å³/f.u.
Size of the total moment   1.00 μB per formula unit
Calculated total energy   -6.071 eV/atom